Material: PmPr2NdHo4
Method: DFT, GGA-PBE
State: optimized geometry

Size of the total moment, μB/atom: 0.003
Energy of formation from the pure elements, eV/atom: 0.40
Calculated density, Mg/m³: 7.54

a = 9.563 Å, b = 9.563 Å, c = 9.563 Å
α = 138.13°, β = 102.63°, γ = 92.10°
Positions (direct):
Pm: 0.500 0.000 0.000
Pm: 0.500 0.500 0.500
Pr: 0.000 0.000 0.000
Pr: 0.000 0.000 0.500
Pr: 0.000 0.500 0.000
Pr: 0.500 0.000 0.500
Nd: 0.000 0.500 0.500
Nd: 0.500 0.500 0.000
Ho: 0.252 0.250 0.002
Ho: 0.252 0.252 0.500
Ho: 0.252 0.750 0.502
Ho: 0.252 0.751 0.000
Ho: 0.748 0.249 0.000
Ho: 0.748 0.250 0.498
Ho: 0.748 0.748 0.500
Ho: 0.748 0.750 0.998

=====

Material: KSr4Au5
Method: DFT, GGA-PBE
State: optimized geometry

Size of the total moment, μB/atom: 0.000
Energy of formation from the pure elements, eV/atom: -0.65
Calculated density, Mg/m³: 7.79

a = 3.887 Å, b = 3.887 Å, c = 19.390 Å
α = 90.00°, β = 90.00°, γ = 90.00°
Positions (direct):
K: 0.000 0.000 0.000
Sr: 0.000 0.000 0.207
Sr: 0.000 0.000 0.402
Sr: 0.000 0.000 0.598
Sr: 0.000 0.000 0.793
Au: 0.500 0.500 0.120
Au: 0.500 0.500 0.304
Au: 0.500 0.500 0.500
Au: 0.500 0.500 0.696
Au: 0.500 0.500 0.880

=====

Material: DyLuBeCo
Method: DFT, GGA-PBE
State: optimized geometry

Size of the total moment, μB/atom: 0.000
Energy of formation from the pure elements, eV/atom: -0.07
Calculated density, Mg/m³: 9.14

a = 4.704 Å, b = 4.704 Å, c = 4.704 Å
α = 60.00°, β = 60.00°, γ = 60.00°
Positions (direct):
Dy: 0.000 0.000 0.000
Lu: 0.500 0.500 0.500
Be: 0.250 0.250 0.250
Co: 0.750 0.750 0.750